(1)
{"formula": "Na3Pu3ScSe8", "functional": "GGA-PBE", "state": "optimized geometry", "cell": [[4.1275, 2.3830, 6.9944], [-4.1275, 2.3830, 6.9944], [0.0000, -4.7661, 6.9944]], "species": ["Na", "Na", "Na", "Pu", "Pu", "Pu", "Sc", "Se", "Se", "Se", "Se", "Se", "Se", "Se", "Se"], "frac_coords": [[0.0000, 0.5000, 0.5000], [0.5000, 0.0000, 0.5000], [0.5000, 0.5000, 0.0000], [0.0000, 0.0000, 0.5000], [0.0000, 0.5000, 0.0000], [0.5000, 0.0000, 0.0000], [0.5000, 0.5000, 0.5000], [0.2435, 0.2435, 0.2435], [0.2512, 0.7338, 0.7338], [0.2662, 0.2662, 0.7488], [0.2662, 0.7488, 0.2662], [0.7338, 0.2512, 0.7338], [0.7338, 0.7338, 0.2512], [0.7488, 0.2662, 0.2662], [0.7565, 0.7565, 0.7565]], "dos_at_fermi_per_ev_cell": 27.87, "space_group": "R-3m", "formation_energy_uncorrected_ev_per_fu": -21.39}



(2)
{"formula": "SrGeRh2O", "functional": "GGA-PBE", "state": "optimized geometry", "cell": [[4.9553, 0.0000, 0.0000], [0.0000, 4.9553, 0.0000], [0.0000, 0.0000, 5.9219]], "species": ["Sr", "Ge", "Rh", "Rh", "O"], "frac_coords": [[0.0000, 0.0000, 0.0000], [0.0000, 0.0000, 0.5000], [0.0000, 0.5000, 0.0000], [0.5000, 0.0000, 0.0000], [0.5000, 0.5000, 0.5000]], "dos_at_fermi_per_ev_cell": 7.03, "space_group": "P4/mmm", "formation_energy_uncorrected_ev_per_fu": 10.06}



(3)
{"formula": "Ca3Ac3Ag4", "functional": "GGA-PBE", "state": "optimized geometry", "cell": [[4.3658, 0.0000, 0.0000], [0.0000, 6.0365, 6.1156], [0.0000, -6.0365, 6.1156]], "species": ["Ca", "Ca", "Ca", "Ac", "Ac", "Ac", "Ag", "Ag", "Ag", "Ag"], "frac_coords": [[0.0000, 0.0000, 0.0000], [0.5000, 0.3241, 0.8341], [0.5000, 0.8341, 0.3241], [0.0000, 0.1650, 0.4947], [0.0000, 0.4947, 0.1650], [0.0000, 0.6688, 0.6688], [0.5000, 0.1985, 0.1985], [0.5000, 0.4610, 0.4610], [0.5000, 0.7121, 0.9620], [0.5000, 0.9620, 0.7121]], "dos_at_fermi_per_ev_cell": 8.99, "space_group": "Amm2", "formation_enthalpy_0k_ev_per_atom": -0.251}



(4)
{"formula": "FePIr2", "functional": "GGA-PBE", "state": "optimized geometry", "cell": [[1.4098, 0.8139, 7.9145], [-1.4098, 0.8139, 7.9145], [0.0000, -1.6278, 7.9145]], "species": ["Fe", "P", "Ir", "Ir"], "frac_coords": [[0.0000, 0.0000, 0.0000], [0.5000, 0.5000, 0.5000], [0.2436, 0.2436, 0.2436], [0.7564, 0.7564, 0.7564]], "dos_at_fermi_per_ev_cell": 2.70, "space_group": "R-3m", "formation_enthalpy_0k_ev_per_atom": -0.043}



(5)
{"formula": "CeFe10B2", "functional": "GGA-PBE", "state": "optimized geometry", "cell": [[4.0915, -4.6314, 0.0000], [4.0915, 4.6314, 0.0000], [0.0000, 0.0000, 7.8148]], "species": ["Ce", "Ce", "Fe", "Fe", "Fe", "Fe", "Fe", "Fe", "Fe", "Fe", "Fe", "Fe", "Fe", "Fe", "Fe", "Fe", "Fe", "Fe", "Fe", "Fe", "Fe", "Fe", "B", "B", "B", "B"], "frac_coords": [[0.1123, 0.8877, 0.7500], [0.8877, 0.1123, 0.2500], [0.1103, 0.4062, 0.7500], [0.1673, 0.8327, 0.0909], [0.1673, 0.8327, 0.4091], [0.2329, 0.2329, 0.0000], [0.2329, 0.2329, 0.5000], [0.2430, 0.4714, 0.2500], [0.3871, 0.6129, 0.5746], [0.3871, 0.6129, 0.9254], [0.4062, 0.1103, 0.2500], [0.4714, 0.2430, 0.7500], [0.5286, 0.7570, 0.2500], [0.5938, 0.8897, 0.7500], [0.6129, 0.3871, 0.0746], [0.6129, 0.3871, 0.4254], [0.7570, 0.5286, 0.7500], [0.7671, 0.7671, 0.0000], [0.7671, 0.7671, 0.5000], [0.8327, 0.1673, 0.5909], [0.8327, 0.1673, 0.9091], [0.8897, 0.5938, 0.2500], [0.0000, 0.5000, 0.0000], [0.0000, 0.5000, 0.5000], [0.5000, 0.0000, 0.0000], [0.5000, 0.0000, 0.5000]], "dos_at_fermi_per_ev_cell": 24.69, "space_group": "Cmcm", "formation_enthalpy_0k_ev_per_atom": -0.051}



(6)
{"formula": "PmPa2Bi", "functional": "GGA-PBE", "state": "optimized geometry", "cell": [[1.6518, 0.9537, 12.4336], [-1.6518, 0.9537, 12.4336], [0.0000, -1.9074, 12.4336]], "species": ["Pm", "Pa", "Pa", "Bi"], "frac_coords": [[0.0000, 0.0000, 0.0000], [0.4134, 0.4134, 0.4134], [0.5866, 0.5866, 0.5866], [0.5000, 0.5000, 0.5000]], "dos_at_fermi_per_ev_cell": 8.63, "space_group": "R-3m", "de_polymorph_mev_per_atom": 393, "formation_enthalpy_0k_ev_per_atom": 0.321}



(7)
{"formula": "Pu4GeAsS2", "functional": "GGA-PBE", "state": "optimized geometry", "cell": [[7.0019, -4.0817, 0.0000], [7.0019, 4.0817, 0.0000], [-4.6116, 0.0000, 6.5830]], "species": ["Pu", "Pu", "Pu", "Pu", "Pu", "Pu", "Pu", "Pu", "Ge", "Ge", "As", "As", "S", "S", "S", "S"], "frac_coords": [[0.0000, 0.0000, 0.0000], [0.0011, 0.0011, 0.5162], [0.5051, 0.5051, 0.5193], [0.5073, 0.5073, 0.0080], [0.5108, 0.9876, 0.0077], [0.5171, 0.9957, 0.5145], [0.9876, 0.5108, 0.0077], [0.9957, 0.5171, 0.5145], [0.2523, 0.2523, 0.7609], [0.2528, 0.2528, 0.2606], [0.2524, 0.7530, 0.2602], [0.7530, 0.2524, 0.2602], [0.2531, 0.7522, 0.7599], [0.7511, 0.7511, 0.2600], [0.7522, 0.2531, 0.7599], [0.7526, 0.7526, 0.7605]], "dos_at_fermi_per_ev_cell": 72.21, "space_group": "Cm", "formation_energy_uncorrected_ev_per_fu": -9.32}



(8)
{"formula": "TlCu2AuCl8", "functional": "GGA-PBE", "state": "optimized geometry", "cell": [[6.5289, 0.0000, 0.0000], [1.0522, 6.4675, 0.0000], [0.7650, 0.4472, 7.2881]], "species": ["Tl", "Cu", "Cu", "Au", "Cl", "Cl", "Cl", "Cl", "Cl", "Cl", "Cl", "Cl"], "frac_coords": [[0.0000, 0.0000, 0.0000], [0.4633, 0.4636, 0.7472], [0.5367, 0.5364, 0.2528], [0.0000, 0.0000, 0.5000], [0.1786, 0.1677, 0.2569], [0.2254, 0.2036, 0.7686], [0.3166, 0.6677, 0.0002], [0.3175, 0.6768, 0.5003], [0.6825, 0.3232, 0.4997], [0.6834, 0.3323, 0.9998], [0.7746, 0.7964, 0.2314], [0.8214, 0.8323, 0.7431]], "dos_at_fermi_per_ev_cell": 4.90, "space_group": "P-1", "formation_energy_uncorrected_ev_per_fu": -5.38}



(9)
{"formula": "Pr4SbTe2Pb", "functional": "GGA-PBE", "state": "optimized geometry", "cell": [[7.9059, 0.0000, 0.0000], [0.0000, 4.5776, 0.0000], [-2.6415, 0.0000, 7.4576]], "species": ["Pr", "Pr", "Pr", "Pr", "Sb", "Te", "Te", "Pb"], "frac_coords": [[0.2413, 0.0000, 0.2471], [0.2427, 0.5000, 0.7477], [0.7573, 0.5000, 0.2523], [0.7587, 0.0000, 0.7529], [0.0000, 0.5000, 0.0000], [0.5000, 0.0000, 0.0000], [0.5000, 0.5000, 0.5000], [0.0000, 0.0000, 0.5000]], "dos_at_fermi_per_ev_cell": 1.70, "space_group": "P2/m", "formation_energy_uncorrected_ev_per_fu": -9.68}



(10)
{"formula": "La7Pr4Er", "functional": "GGA-PBE", "state": "optimized geometry", "cell": [[6.4762, 0.0000, 0.0000], [0.0147, 7.4496, 0.0000], [2.1626, 0.0042, 9.0333]], "species": ["La", "La", "La", "La", "La", "La", "La", "Pr", "Pr", "Pr", "Pr", "Er"], "frac_coords": [[0.0000, 0.0000, 0.0000], [0.2182, 0.5013, 0.3311], [0.2801, 0.2517, 0.6701], [0.5004, 0.2538, 0.9999], [0.4996, 0.7462, 0.0001], [0.7199, 0.7483, 0.3299], [0.7818, 0.4987, 0.6689], [0.2247, 0.0002, 0.3310], [0.2771, 0.7476, 0.6724], [0.7229, 0.2524, 0.3276], [0.7753, 0.9998, 0.6690], [0.0000, 0.5000, 0.0000]], "dos_at_fermi_per_ev_cell": 19.40, "space_group": "P-1", "de_polymorph_mev_per_atom": 0, "formation_enthalpy_0k_ev_per_atom": 0.016}



(11)
{"formula": "La8TbHg2", "functional": "GGA-PBE", "state": "optimized geometry", "cell": [[8.6485, -2.7485, 0.0000], [8.6485, 2.7485, 0.0000], [-3.5807, 0.0000, 7.8337]], "species": ["La", "La", "La", "La", "La", "La", "La", "La", "Tb", "Hg", "Hg"], "frac_coords": [[0.0493, 0.0493, 0.2432], [0.1493, 0.1493, 0.7064], [0.3106, 0.3106, 0.5416], [0.3946, 0.3946, 0.0313], [0.6054, 0.6054, 0.9687], [0.6894, 0.6894, 0.4584], [0.8507, 0.8507, 0.2936], [0.9507, 0.9507, 0.7568], [0.5000, 0.5000, 0.5000], [0.2159, 0.2159, 0.1326], [0.7841, 0.7841, 0.8674]], "dos_at_fermi_per_ev_cell": 16.27, "space_group": "C2/m", "formation_enthalpy_0k_ev_per_atom": -0.146}



(12)
{"formula": "SrNdPt2", "functional": "GGA-PBE", "state": "optimized geometry", "cell": [[4.5077, 0.0000, 0.0000], [0.0000, 2.0263, 5.5850], [0.0000, -2.0263, 5.5850]], "species": ["Sr", "Nd", "Pt", "Pt"], "frac_coords": [[0.0000, 0.0000, 0.0000], [0.5000, 0.2774, 0.2774], [0.0000, 0.7252, 0.7252], [0.5000, 0.5640, 0.5640]], "dos_at_fermi_per_ev_cell": 1.86, "space_group": "Amm2", "de_polymorph_mev_per_atom": 1, "formation_enthalpy_0k_ev_per_atom": -0.957}



Let's list raw total energy in order: -6.837; -3.180; -3.224; -7.942; -8.045; -6.584; -10.521; -2.832; -5.364; -4.831; -4.205; -5.590 eV per atom.